(1)
YTaCr4: relaxed, PBE.

Lattice parameters (Å, degrees): 5.052 5.052 5.052 60.00 60.00 60.00
Element x y z (fractional)
Y1 0.000 0.000 0.000
Cr1 0.625 0.625 0.625
Cr2 0.126 0.625 0.625
Cr3 0.625 0.625 0.126
Cr4 0.625 0.126 0.625
Ta1 0.250 0.250 0.250

Calculated values
The density of states at the Fermi level is 0.743 states/eV per atom. The calculated formation energy is 1.03 eV per formula unit. As for the space group: F-43m (216). The calculation puts the magnetization at 0.000 μB per formula unit.

(2)
TbCoSi: relaxed, PBE.

Lattice parameters (Å, degrees): 3.985 3.985 7.767 90.00 120.85 90.00
Site moments in Bohr magnetons follow the coordinates.
Element x y z (fractional)
Co1 0.254 0.248 0.502  0.29
Co2 0.754 0.748 0.502  0.29
Si1 0.438 0.748 0.686  0.00
Si2 0.569 0.248 0.317  0.00
Tb1 0.937 0.748 0.184  0.01
Tb2 0.071 0.248 0.819  0.01

Calculated values
The density of states at the Fermi level is 0.772 states/eV per atom. As for the space group: P4/nmm (129). The calculation puts the uncorrected formation energy at -741 meV/atom. The calculation puts the magnetization at 0.290 μB per formula unit.